Computed, not measured: a relaxed B7C5 crystal at the PBE level of DFT.

Cell: 7.8659 8.3522 8.3522 Å, 161.28 146.43 39.00°
Closest atoms and distances in Å follow each position.
Fractional positions:
B1 0.0139 0.9533 0.0607  2 C 1.57, 1 B 1.69
B2 0.0611 0.3349 0.7261  3 C 1.60-1.66
B3 0.6204 0.6696 0.9508  3 C 1.57-1.58
B4 0.5902 0.2783 0.3119  1 C 1.55
B5 0.1178 0.1707 0.9472  3 C 1.58-1.59
B6 0.6562 0.9541 0.7021  2 C 1.56, 2 B 1.69-1.74
B7 0.4931 0.8393 0.6538  1 C 1.71, 3 B 1.74-1.85
C1 0.0988 0.7889 0.3099  1 C 1.58, 3 B 1.60-1.71
C2 0.9740 0.6850 0.2890  3 B 1.58, 1 C 1.58
C3 0.1660 0.4434 0.7226  1 C 1.48, 2 B 1.57
C4 0.4636 0.1764 0.2871  4 B 1.55-1.59
C5 0.4950 0.4561 0.0389  1 C 1.48, 2 B 1.56

Computed properties:
For the excess energy over the best structure of this formula in the dataset, the calculation gives 198.8 meV/atom. For the energy of formation from the pure elements, the calculation gives 0.3632 eV per atom.